Entry 1:
## RbGa4Au4 (PBE)

Data for crystalline RbGa4Au4 at its relaxed geometry.

```
RbGa4Au4
1.0
-4.064 -5.153 -1.572
-0.514 -1.589 6.538
-6.977 5.278 0.735
Rb Ga Au
2 8 8
Cartesian
0.000 0.000 0.000
-5.777 -0.732 2.851
-7.366 2.562 3.527
-9.433 -0.059 2.727
-3.286 -3.120 4.238
-3.024 -2.312 0.911
-3.005 0.799 5.151
-2.753 1.579 1.939
-5.388 1.983 0.059
-7.385 -0.548 -0.713
-8.183 0.510 5.000
-7.883 1.439 1.177
-4.709 -3.946 2.153
-2.333 -0.932 3.073
-3.444 0.200 -0.222
-5.132 -1.940 -0.875
-4.871 3.106 2.409
-5.084 2.447 5.124
```

Summary:
- Energy above the most stable polymorph in this dataset: 48.4 meV per atom
- DOS at the Fermi energy: 0.5794 states/eV/atom
- Spin magnetization: 0.0 Bohr magnetons per cell
- Volume: 22.211 Å³/atom
- Energy of formation from the pure elements: -26.0 kJ per mole of atoms

=====

Entry 2:
## CoPbCl2 (PBE)

Data for crystalline CoPbCl2 at its relaxed geometry.

```
CoPbCl2
1.0
3.463 0.000 0.000
0.000 5.838 0.000
0.000 0.000 4.481
Pb Co Cl
1 1 2
Cartesian
0.000 2.919 2.241
1.731 0.000 2.241
0.000 0.000 0.000
1.731 2.919 0.000
```

Summary:
- Formation energy (no corrections): 0.1055 eV per atom
- Energy above the most stable polymorph in this dataset: 502.9 meV per atom
- DOS at the Fermi energy: 1.2745 states/eV/atom
- Spin magnetization: 1.8 Bohr magnetons per cell
- Volume: 22.649 Å³/atom

=====

Entry 3:
## TcAg2RhPb (PBE)

Data for crystalline TcAg2RhPb at its relaxed geometry.

```
TcAg2RhPb
1.0
5.173 0.000 0.000
0.000 4.560 0.000
0.000 0.000 5.173
Pb Rh Tc Ag
1 1 1 2
Cartesian
2.587 2.280 2.587
0.000 2.280 0.000
0.000 0.000 0.000
0.000 0.000 2.587
2.587 0.000 0.000
```

Summary:
- DOS at the Fermi energy: 0.9251 states/eV/atom
- Spin magnetization: 0.8 Bohr magnetons per cell
- Volume: 24.405 Å³/atom
- Energy of formation from the pure elements: 101.0 kJ per mole of atoms